Entry 1:
LaPr8Tl6: relaxed, PBE.

Computed properties:
* symmetry: R-3 (148)
* DOS at the Fermi energy: 1.589 states/eV per atom
* magnetization: 0.001 Bohr magnetons per cell
* final energy: -4.005 eV/atom
* formation energy: -0.181 eV/atom

Structure (POSCAR):
```
LaPr8Tl6
1.0
4.736 2.734 6.676
-4.736 2.734 6.676
0.000 -5.468 6.676
La Pr Tl
1 8 6
Direct
0.000 0.000 0.000
0.114 0.781 0.445
0.219 0.555 0.886
0.333 0.333 0.333
0.445 0.114 0.781
0.555 0.886 0.219
0.667 0.667 0.667
0.781 0.445 0.114
0.886 0.219 0.555
0.057 0.393 0.721
0.279 0.943 0.607
0.393 0.721 0.057
0.607 0.279 0.943
0.721 0.057 0.393
0.943 0.607 0.279
```

***

Entry 2:
Sc3Tl: relaxed, PBE.

Computed properties:
* symmetry: Pmmn (59)
* DOS at the Fermi energy: 1.418 states/eV per atom
* magnetization: 0.769 Bohr magnetons per cell
* final energy: -5.519 eV/atom
* formation energy: -0.179 eV/atom

Structure (POSCAR):
```
Sc3Tl
1.0
5.110 0.000 0.000
0.000 6.197 0.000
0.000 0.000 5.895
Sc Tl
6 2
Direct
0.250 0.004 0.141
0.250 0.250 0.635
0.250 0.496 0.141
0.750 0.504 0.859
0.750 0.750 0.365
0.750 0.996 0.859
0.250 0.750 0.658
0.750 0.250 0.342
```

***

Entry 3:
Li5CdPt: relaxed, PBE.

Computed properties:
* symmetry: P4/mmm (123)
* relative energy among the computed polymorphs: 26 meV per atom
* DOS at the Fermi energy: 0.245 states/eV per atom
* magnetization: 0.000 Bohr magnetons per cell
* final energy: -2.608 eV/atom
* formation energy: -0.247 eV/atom

Structure (POSCAR):
```
Li5CdPt
1.0
3.907 0.000 0.000
0.000 3.907 0.000
0.000 0.000 8.009
Li Cd Pt
5 1 1
Direct
0.000 0.000 0.000
0.000 0.500 0.230
0.000 0.500 0.770
0.500 0.000 0.230
0.500 0.000 0.770
0.000 0.000 0.500
0.500 0.500 0.000
```

***

Entry 4:
ScReAs2: relaxed, PBE.

Computed properties:
* symmetry: Cmmm (65)
* relative energy among the computed polymorphs: 200 meV per atom
* DOS at the Fermi energy: 0.966 states/eV per atom
* magnetization: 0.000 Bohr magnetons per cell
* final energy: -7.277 eV/atom
* formation energy: -0.257 eV/atom

Structure (POSCAR):
```
ScReAs2
1.0
2.205 -2.221 0.000
2.205 2.221 0.000
0.000 0.000 6.773
Sc Re As
1 1 2
Direct
0.000 0.000 0.000
0.000 0.000 0.500
0.500 0.500 0.276
0.500 0.500 0.724
```

***

Entry 5:
LiIn3Ag3: relaxed, PBE.

Computed properties:
* symmetry: Pm-3n (223)
* relative energy among the computed polymorphs: 417 meV per atom
* DOS at the Fermi energy: 0.355 states/eV per atom
* magnetization: 0.000 Bohr magnetons per cell
* final energy: -2.336 eV/atom
* formation energy: 0.333 eV/atom

Structure (POSCAR):
```
LiIn3Ag3
1.0
7.712 0.000 0.000
0.000 7.712 0.000
0.000 0.000 7.712
Li In Ag
2 6 6
Direct
0.000 0.000 0.000
0.500 0.500 0.500
0.000 0.250 0.500
0.000 0.750 0.500
0.250 0.500 0.000
0.500 0.000 0.250
0.500 0.000 0.750
0.750 0.500 0.000
0.000 0.500 0.250
0.000 0.500 0.750
0.250 0.000 0.500
0.500 0.250 0.000
0.500 0.750 0.000
0.750 0.000 0.500
```

***

Entry 6:
LaGa2IO: relaxed, PBE.

Computed properties:
* symmetry: P4/mmm (123)
* DOS at the Fermi energy: 0.832 states/eV per atom
* magnetization: 0.000 Bohr magnetons per cell
* final energy: -3.346 eV/atom
* formation energy without anion corrections: 0.151 eV per atom

Structure (POSCAR):
```
LaGa2IO
1.0
6.063 0.000 0.000
0.000 6.063 0.000
0.000 0.000 4.260
La Ga I O
1 2 1 1
Direct
0.000 0.000 0.000
0.000 0.500 0.500
0.500 0.000 0.500
0.500 0.500 0.500
0.500 0.500 0.000
```

***

Copy entry 4 word for word.
ScReAs2: relaxed, PBE.

Computed properties:
* symmetry: Cmmm (65)
* relative energy among the computed polymorphs: 200 meV per atom
* DOS at the Fermi energy: 0.966 states/eV per atom
* magnetization: 0.000 Bohr magnetons per cell
* final energy: -7.277 eV/atom
* formation energy: -0.257 eV/atom

Structure (POSCAR):
```
ScReAs2
1.0
2.205 -2.221 0.000
2.205 2.221 0.000
0.000 0.000 6.773
Sc Re As
1 1 2
Direct
0.000 0.000 0.000
0.000 0.000 0.500
0.500 0.500 0.276
0.500 0.500 0.724
```